# 1
First-principles (GGA-PBE) data for a relaxed structure of ScZn10Ag, as listed in Alexandria.

Lattice parameters (Å, degrees): 4.298 5.085 8.948 90.00 90.00 90.00
Element x y z (fractional)
Zn 0.000 0.500 0.162
Zn 0.500 0.258 0.740
Ag 0.000 0.000 0.000
Zn 0.000 0.000 0.321
Zn 0.500 0.500 0.000
Sc 0.000 0.500 0.500
Zn 0.000 0.000 0.679
Zn 0.500 0.742 0.260
Zn 0.000 0.500 0.838
Zn 0.500 0.742 0.740
Zn 0.500 0.258 0.260
Zn 0.500 0.000 0.500

Calculated values
Space-group type: Pmmm
Final energy, eV/cell: -22.68
Mass density, Mg/m³: 6.85


# 2
First-principles (GGA-PBE) data for a relaxed structure of Nd3PuRh8, as listed in Alexandria.

Lattice parameters (Å, degrees): 5.396 5.396 9.360 73.25 73.25 60.00
Last column: magnetic moment on the atom in μB.
Element x y z (fractional)
Rh 0.440 0.937 0.685  -0.05
Rh 0.437 0.437 0.190  -0.11
Rh 0.437 0.936 0.190  -0.11
Nd 0.375 0.375 0.874  0.03
Rh 0.937 0.937 0.685  -0.05
Pu 0.875 0.875 0.375  5.07
Rh 0.936 0.437 0.190  -0.11
Nd 0.501 0.501 0.497  0.06
Rh 0.937 0.440 0.685  -0.05
Nd 0.999 0.999 0.003  0.05
Rh 0.688 0.688 0.937  -0.05
Rh 0.188 0.188 0.437  -0.11

Calculated values
Space-group type: R3m
Final energy, eV/cell: -94.69
Mass density, Mg/m³: 11.19


# 3
First-principles (GGA-PBE) data for a relaxed structure of Tm2Sc3Tl4, as listed in Alexandria.

Lattice parameters (Å, degrees): 6.771 8.773 8.607 90.00 113.16 90.00
Element x y z (fractional)
Sc 0.500 0.500 0.000
Tl 0.278 0.250 0.056
Tm 0.614 0.925 0.228
Tl 0.187 0.954 0.374
Tl 0.313 0.454 0.626
Tl 0.222 0.750 0.944
Tm 0.886 0.425 0.772
Tl 0.778 0.250 0.056
Sc 0.000 0.000 0.000
Tl 0.687 0.546 0.374
Sc 0.961 0.250 0.422
Tl 0.722 0.750 0.944
Tl 0.813 0.046 0.626
Tm 0.386 0.075 0.772
Sc 0.039 0.750 0.578
Sc 0.461 0.250 0.422
Tm 0.114 0.575 0.228
Sc 0.539 0.750 0.578

Calculated values
Space-group type: Cmce
Relative energy among the computed polymorphs, eV/f.u.: 0.69
Mass density, Mg/m³: 9.12


# 4
First-principles (GGA-PBE) data for a relaxed structure of UPt2Au, as listed in Alexandria.

Lattice parameters (Å, degrees): 3.888 3.888 6.885 73.60 73.60 60.00
Last column: magnetic moment on the atom in μB.
Element x y z (fractional)
Au 0.500 0.500 0.500  -0.02
Pt 0.252 0.252 0.245  -0.06
U 0.000 0.000 0.000  0.95
Pt 0.748 0.748 0.755  -0.06

Calculated values
Space-group type: R-3m
Final energy, eV/cell: -28.08
Mass density, Mg/m³: 16.09


# 5
First-principles (GGA-PBE) data for a relaxed structure of La6Tl5Br, as listed in Alexandria.

Lattice parameters (Å, degrees): 5.493 9.611 9.611 118.28 106.62 106.62
Element x y z (fractional)
Tl 0.500 0.179 0.821
Tl 0.000 0.666 0.334
La 0.243 0.402 0.083
Tl 0.000 0.334 0.666
Br 0.000 0.000 0.000
La 0.757 0.598 0.917
La 0.243 0.083 0.402
La 0.744 0.245 0.245
Tl 0.500 0.821 0.179
La 0.757 0.917 0.598
La 0.256 0.755 0.755
Tl 0.500 0.500 0.500

Calculated values
Formation energy from raw total energies, eV/f.u.: -6.36
Space-group type: Immm
Mass density, Mg/m³: 8.66


# 6
First-principles (GGA-PBE) data for a relaxed structure of CrMo2Os, as listed in Alexandria.

Lattice parameters (Å, degrees): 2.737 3.851 5.567 90.00 90.00 90.00
Element x y z (fractional)
Mo 0.000 0.000 0.986
Cr 0.500 0.500 0.743
Os 0.000 0.000 0.511
Mo 0.500 0.500 0.260

Calculated values
Space-group type: Pmm2
Relative energy among the computed polymorphs, eV/f.u.: 0.52
Mass density, Mg/m³: 12.28


# 7
First-principles (GGA-PBE) data for a relaxed structure of NaS2O4, as listed in Alexandria.

Lattice parameters (Å, degrees): 8.586 8.586 6.028 58.05 58.05 47.70
Element x y z (fractional)
O 0.667 0.927 0.403
O 0.533 0.185 0.626
O 0.187 0.773 0.312
O 0.213 0.230 0.187
Na 0.534 0.830 0.278
O 0.073 0.333 0.597
O 0.227 0.813 0.688
S 0.029 0.301 0.427
S 0.699 0.971 0.573
S 0.986 0.000 0.314
O 0.770 0.787 0.813
Na 0.170 0.466 0.722
O 0.815 0.467 0.374
S 0.000 0.014 0.686

Calculated values
Formation energy from raw total energies, eV/f.u.: -8.91
Space-group type: C2
Mass density, Mg/m³: 1.87


# 8
First-principles (GGA-PBE) data for a relaxed structure of Tl2PAu2, as listed in Alexandria.

Lattice parameters (Å, degrees): 3.811 3.811 8.708 77.36 77.36 90.00
Element x y z (fractional)
P 0.000 0.000 0.000
Tl 0.404 0.404 0.192
Au 0.250 0.750 0.500
Tl 0.596 0.596 0.808
Au 0.750 0.250 0.500

Calculated values
Space-group type: I4/mmm
Relative energy among the computed polymorphs, eV/f.u.: 0.70
Mass density, Mg/m³: 11.51


# 9
First-principles (GGA-PBE) data for a relaxed structure of HfReN2, as listed in Alexandria.

Lattice parameters (Å, degrees): 6.442 6.442 6.442 28.35 28.35 28.35
Element x y z (fractional)
Hf 0.500 0.500 0.500
N 0.896 0.896 0.896
N 0.104 0.104 0.104
Re 0.000 0.000 0.000

Calculated values
Formation energy from raw total energies, eV/f.u.: -2.02
Space-group type: R-3m
Relative energy among the computed polymorphs, eV/f.u.: 0.00
Mass density, Mg/m³: 12.24


# 10
First-principles (GGA-PBE) data for a relaxed structure of Er2TmMgC, as listed in Alexandria.

Lattice parameters (Å, degrees): 4.880 4.932 4.932 90.00 90.00 90.00
Last column: magnetic moment on the atom in μB.
Element x y z (fractional)
Er 0.000 0.500 0.000  0.14
Mg 0.500 0.500 0.500  0.03
Er 0.000 0.000 0.500  0.14
C 0.000 0.000 0.000  -0.02
Tm 0.500 0.000 0.000  0.13

Calculated values
Space-group type: P4/mmm
Final energy, eV/cell: -25.50
Mass density, Mg/m³: 7.55


# 11
First-principles (GGA-PBE) data for a relaxed structure of Nd2SnPt, as listed in Alexandria.

Lattice parameters (Å, degrees): 3.602 3.602 8.107 90.00 90.00 90.00
Element x y z (fractional)
Sn 0.500 0.500 0.500
Nd 0.000 0.000 0.220
Nd 0.000 0.000 0.780
Pt 0.500 0.500 0.000

Calculated values
Space-group type: P4/mmm
Final energy, eV/cell: -23.00
Mass density, Mg/m³: 9.51


# 12
First-principles (GGA-PBE) data for a relaxed structure of PuVCrTc, as listed in Alexandria.

Lattice parameters (Å, degrees): 4.437 4.437 4.437 60.00 60.00 60.00
Last column: magnetic moment on the atom in μB.
Element x y z (fractional)
Cr 0.750 0.750 0.750  -0.76
Tc 0.250 0.250 0.250  -0.14
V 0.000 0.000 0.000  -0.03
Pu 0.500 0.500 0.500  4.46

Calculated values
Space-group type: F-43m
Final energy, eV/cell: -42.85
Mass density, Mg/m³: 11.96


# 13
First-principles (GGA-PBE) data for a relaxed structure of InHg4I2, as listed in Alexandria.

Lattice parameters (Å, degrees): 6.253 6.253 7.823 113.76 113.76 89.62
Element x y z (fractional)
Hg 0.786 0.786 0.072
Hg 0.286 0.786 0.071
Hg 0.786 0.286 0.071
I 0.786 0.286 0.571
Hg 0.286 0.286 0.071
In 0.786 0.786 0.572
I 0.286 0.786 0.571

Calculated values
Formation energy from raw total energies, eV/f.u.: -0.93
Space-group type: Fmmm
Relative energy among the computed polymorphs, eV/f.u.: 0.00
Mass density, Mg/m³: 7.72


# 14
First-principles (GGA-PBE) data for a relaxed structure of SrCaOs2, as listed in Alexandria.

Lattice parameters (Å, degrees): 4.855 4.855 4.855 120.02 120.02 89.97
Element x y z (fractional)
Sr 0.500 0.500 0.000
Os 0.000 0.000 0.000
Ca 0.750 0.250 0.500
Os 0.250 0.750 0.500

Calculated values
Space-group type: F-43m
Relative energy among the computed polymorphs, eV/f.u.: 1.96
Mass density, Mg/m³: 10.43


# 15
First-principles (GGA-PBE) data for a relaxed structure of Tl6IrF12, as listed in Alexandria.

Lattice parameters (Å, degrees): 7.498 7.498 7.498 98.89 98.89 98.89
Last column: magnetic moment on the atom in μB.
Element x y z (fractional)
Tl 0.849 0.682 0.391  0.04
Tl 0.151 0.318 0.609  0.04
Tl 0.609 0.151 0.318  0.04
F 0.064 0.257 0.979  0.08
F 0.557 0.817 0.417  0.04
Ir 0.000 0.000 0.000  0.88
F 0.257 0.979 0.064  0.08
F 0.817 0.417 0.557  0.04
Tl 0.318 0.609 0.151  0.04
F 0.443 0.183 0.583  0.04
F 0.583 0.443 0.183  0.04
Tl 0.682 0.391 0.849  0.04
F 0.183 0.583 0.443  0.04
F 0.743 0.021 0.936  0.08
F 0.936 0.743 0.021  0.08
F 0.417 0.557 0.817  0.04
F 0.021 0.936 0.743  0.08
F 0.979 0.064 0.257  0.08
Tl 0.391 0.849 0.682  0.04

Calculated values
Formation energy from raw total energies, eV/f.u.: -32.43
Space-group type: R-3
Mass density, Mg/m³: 6.76


# 16
First-principles (GGA-PBE) data for a relaxed structure of Na8CdSn2, as listed in Alexandria.

Lattice parameters (Å, degrees): 5.708 8.466 8.466 91.55 83.91 83.91
Element x y z (fractional)
Sn 0.386 0.126 0.126
Na 0.229 0.857 0.349
Na 0.771 0.143 0.651
Na 0.829 0.259 0.259
Sn 0.614 0.874 0.874
Na 0.721 0.590 0.590
Na 0.171 0.741 0.741
Cd 0.000 0.000 0.000
Na 0.229 0.349 0.857
Na 0.771 0.651 0.143
Na 0.279 0.410 0.410

Calculated values
Space-group type: C2/m
Relative energy among the computed polymorphs, eV/f.u.: 0.76
Mass density, Mg/m³: 2.19


# 17
First-principles (GGA-PBE) data for a relaxed structure of B5C7, as listed in Alexandria.

Lattice parameters (Å, degrees): 2.440 2.537 12.615 90.00 90.00 90.00
Element x y z (fractional)
B 0.000 0.000 0.655
C 0.000 0.000 0.017
C 0.500 0.000 0.568
B 0.000 0.000 0.322
B 0.500 0.500 0.488
C 0.000 0.500 0.399
C 0.000 0.500 0.088
B 0.000 0.500 0.759
C 0.500 0.000 0.946
B 0.500 0.500 0.866
C 0.500 0.000 0.230
C 0.500 0.500 0.162

Calculated values
Space-group type: Pmm2
Relative energy among the computed polymorphs, eV/f.u.: 1.25
Mass density, Mg/m³: 2.94


# 18
First-principles (GGA-PBE) data for a relaxed structure of Mo2WSe, as listed in Alexandria.

Lattice parameters (Å, degrees): 4.207 2.992 5.947 59.53 90.00 90.00
Element x y z (fractional)
Mo 0.000 0.496 0.505
W 0.500 0.750 0.750
Se 0.500 0.250 0.250
Mo 0.000 0.004 0.995

Calculated values
Formation energy from raw total energies, eV/f.u.: 1.33
Space-group type: P2/m
Mass density, Mg/m³: 11.70


# 19
First-principles (GGA-PBE) data for a relaxed structure of Li4PmPd5, as listed in Alexandria.

Lattice parameters (Å, degrees): 3.197 3.197 15.310 90.00 90.00 90.00
Element x y z (fractional)
Li 0.000 0.000 0.226
Pd 0.500 0.500 0.500
Li 0.000 0.000 0.408
Pm 0.000 0.000 0.000
Li 0.000 0.000 0.774
Pd 0.500 0.500 0.315
Pd 0.500 0.500 0.685
Li 0.000 0.000 0.592
Pd 0.500 0.500 0.871
Pd 0.500 0.500 0.129

Calculated values
Space-group type: P4/mmm
Final energy, eV/cell: -42.91
Mass density, Mg/m³: 7.48


# 20
First-principles (GGA-PBE) data for a relaxed structure of Sm4Y9Er11, as listed in Alexandria.

Lattice parameters (Å, degrees): 3.677 15.036 15.036 112.72 90.00 90.00
Last column: magnetic moment on the atom in μB.
Element x y z (fractional)
Er 0.000 0.159 0.841  0.03
Er 0.000 0.407 0.045  0.07
Sm 0.500 0.553 0.755  0.00
Y 0.500 0.838 0.367  0.09
Y 0.500 0.367 0.838  0.09
Y 0.500 0.933 0.787  0.00
Sm 0.500 0.755 0.553  0.00
Y 0.500 0.787 0.933  0.00
Y 0.500 0.213 0.067  0.00
Er 0.000 0.045 0.407  0.07
Y 0.500 0.633 0.162  0.09
Er 0.000 0.000 0.000  0.02
Y 0.500 0.500 0.500  0.00
Er 0.000 0.841 0.159  0.03
Er 0.000 0.365 0.635  0.00
Er 0.000 0.955 0.593  0.07
Sm 0.500 0.447 0.245  0.00
Er 0.000 0.290 0.290  0.01
Er 0.000 0.635 0.365  0.00
Sm 0.500 0.245 0.447  0.00
Er 0.000 0.593 0.955  0.07
Y 0.500 0.067 0.213  0.00
Er 0.000 0.710 0.710  0.01
Y 0.500 0.162 0.633  0.09

Calculated values
Space-group type: Cmmm
Final energy, eV/cell: -126.10
Mass density, Mg/m³: 7.02


# 21
First-principles (GGA-PBE) data for a relaxed structure of HfSc2N2, as listed in Alexandria.

Lattice parameters (Å, degrees): 3.225 3.225 8.146 78.58 78.58 60.00
Element x y z (fractional)
Sc 0.227 0.227 0.318
Hf 0.000 0.000 0.000
N 0.388 0.388 0.836
N 0.612 0.612 0.164
Sc 0.773 0.773 0.682

Calculated values
Formation energy from raw total energies, eV/f.u.: -7.62
Space-group type: R-3m
Mass density, Mg/m³: 6.89


# 22
First-principles (GGA-PBE) data for a relaxed structure of ScTlCr2, as listed in Alexandria.

Lattice parameters (Å, degrees): 3.093 3.093 7.421 90.00 90.00 90.00
Last column: magnetic moment on the atom in μB.
Element x y z (fractional)
Sc 0.000 0.000 0.457  0.22
Cr 0.000 0.000 0.056  2.18
Tl 0.500 0.500 0.780  -0.01
Cr 0.500 0.500 0.208  -1.65

Calculated values
Space-group type: P4mm
Final energy, eV/cell: -27.21
Mass density, Mg/m³: 8.27